A plane-wave DFT calculation with PBE was carried out for a geometry-optimized Ta2SbAu structure.

POSCAR file:
```
Ta2SbAu
1.0
-0.647 -1.568 2.619
-0.363 -2.458 -1.887
7.564 -1.749 0.822
Au Ta Sb
1 2 1
direct
0.500 0.500 0.250 Au
0.000 0.000 0.005 Ta
0.000 0.000 0.495 Ta
0.500 0.500 0.750 Sb
```

Summary:
VASP energy = -30.2 eV per cell
N(E_F) = 2.76 states/eV/f.u.

=====

A plane-wave DFT calculation with PBE was carried out for a geometry-optimized MgNi3Sn structure.

POSCAR file:
```
MgNi3Sn
1.0
4.655 0.000 0.000
0.000 4.655 0.000
0.000 0.000 4.655
Ni Sn Mg
3 1 1
direct
0.000 0.000 0.500 Ni
0.000 0.500 0.000 Ni
0.500 0.000 0.000 Ni
0.000 0.000 0.000 Sn
0.500 0.500 0.500 Mg
```

Summary:
VASP energy = -19.4 eV per cell
N(E_F) = 2.79 states/eV/f.u.
ΔE to the lowest computed polymorph = 3.54 eV per formula unit